(1)
The following is a DFT calculation (PBE-GGA) of GdHo2Er after structural relaxation.

extended XYZ file:
```
8
Lattice="-2.906 2.725 3.948 -6.137 -2.343 -2.899 3.276 -3.872 5.083" Properties=species:S:1:pos:R:3 pbc="T T T"
Er -3.729 -2.173 0.747
Er -2.040 -1.321 5.386
Gd -5.110 -2.489 3.932
Gd -2.086 -4.106 3.291
Ho -3.683 0.617 2.839
Ho -6.743 -0.552 1.394
Ho -0.654 -1.002 2.202
Ho 0.978 -2.933 4.736
```

Calculated values
energy relative to the elements	6	meV per atom
total magnetic moment	0.187	Bohr magnetons per cell
space group	Ama2, No. 40

=====

(2)
The following is a DFT calculation (PBE-GGA) of NaScGePd after structural relaxation.

extended XYZ file:
```
4
Lattice="0.000 3.258 3.258 3.258 0.000 3.258 3.258 3.258 0.000" Properties=species:S:1:pos:R:3 pbc="T T T"
Ge 3.258 3.258 3.258
Na 4.887 4.887 4.887
Pd 1.629 1.629 1.629
Sc 0.000 0.000 0.000
```

Calculated values
distance to the lowest polymorph of the same formula	0	meV per atom
total magnetic moment	0.001	Bohr magnetons per cell
space group	F-43m, No. 216